! AcLaRu PBE-GGA relaxed; values from VASP
! energy relative to the elements	-0.094	eV/atom
! magnetization	0.0	Bohr magnetons per cell
! symmetry	I4mm, No. 107
&SYSTEM
  ibrav = 0, nat = 3, ntyp = 3
/
ATOMIC_SPECIES
Ru 101.07 Ru.upf
Ac 227.00 Ac.upf
La 138.91 La.upf
ATOMIC_POSITIONS angstrom
Ru 5.300 -3.005 3.103
Ac 0.337 -1.357 2.406
La 4.431 -1.471 0.623
CELL_PARAMETERS angstrom
-0.087 1.193 3.437
-1.231 -3.245 1.095
7.356 -1.198 -1.325

! AcLa8Ru4 PBE-GGA relaxed; values from VASP
! energy relative to the elements	-0.221	eV/atom
! magnetization	0.0	Bohr magnetons per cell
! symmetry	C2/m, No. 12
&SYSTEM
  ibrav = 0, nat = 13, ntyp = 3
/
ATOMIC_SPECIES
Ac 227.00 Ac.upf
La 138.91 La.upf
Ru 101.07 Ru.upf
ATOMIC_POSITIONS angstrom
Ac 8.767 6.226 0.748
La 5.035 0.615 2.478
La 5.374 -0.745 6.338
La 8.134 2.994 3.391
La 8.471 1.634 7.250
La 7.726 -1.285 9.627
La 11.529 1.689 4.655
La 5.783 3.534 0.101
La 1.980 0.558 5.075
Ru 8.051 -1.118 6.791
Ru 9.623 3.544 5.730
Ru 3.886 -1.297 3.999
Ru 5.458 3.367 2.937
CELL_PARAMETERS angstrom
-0.174 2.662 3.215
5.128 -5.176 7.279
9.149 5.029 -0.954

! AcLa2Ru PBE-GGA relaxed; values from VASP
! energy relative to the elements	-0.131	eV/atom
! magnetization	0.0	Bohr magnetons per cell
! symmetry	R3m, No. 160
&SYSTEM
  ibrav = 0, nat = 4, ntyp = 3
/
ATOMIC_SPECIES
Ac 227.00 Ac.upf
La 138.91 La.upf
Ru 101.07 Ru.upf
ATOMIC_POSITIONS angstrom
Ac 4.113 2.375 4.815
La 2.057 1.187 8.136
La 2.057 1.187 1.541
Ru 4.113 2.375 0.033
CELL_PARAMETERS angstrom
4.113 0.000 0.000
2.057 3.562 0.000
2.057 1.187 9.684

! Ac2La3Ru PBE-GGA relaxed; values from VASP
! energy relative to the elements	-0.059	eV/atom
! magnetization	0.0	Bohr magnetons per cell
! symmetry	C2/c, No. 15
&SYSTEM
  ibrav = 0, nat = 12, ntyp = 3
/
ATOMIC_SPECIES
Ac 227.00 Ac.upf
La 138.91 La.upf
Ru 101.07 Ru.upf
ATOMIC_POSITIONS angstrom
Ac 1.544 3.098 4.670
Ac 1.269 6.942 3.890
Ac 4.121 0.893 2.839
Ac 3.846 4.737 2.060
La 2.616 5.766 -2.164
La 2.606 1.922 -1.291
La 4.801 7.434 4.952
La 0.322 4.245 0.995
La 5.067 3.590 5.734
La 0.589 0.401 1.777
Ru 5.424 2.069 8.023
Ru -0.034 5.766 -1.293
CELL_PARAMETERS angstrom
5.737 0.000 -1.885
-0.516 7.688 -1.570
0.168 0.146 10.185

! AcLa4Ru2 PBE-GGA relaxed; values from VASP
! energy relative to the elements	-0.160	eV/atom
! magnetization	0.0	Bohr magnetons per cell
! symmetry	P2_1/m, No. 11
&SYSTEM
  ibrav = 0, nat = 14, ntyp = 3
/
ATOMIC_SPECIES
Ac 227.00 Ac.upf
La 138.91 La.upf
Ru 101.07 Ru.upf
ATOMIC_POSITIONS angstrom
Ac 1.558 0.712 8.401
Ac -1.535 4.850 1.663
La 2.323 2.988 5.492
La 0.416 1.406 2.782
La -0.393 4.156 7.283
La 2.774 -0.340 4.989
La 1.868 5.202 2.384
La -2.751 5.903 5.075
La -2.300 2.575 4.573
La -1.845 0.360 7.680
Ru 5.192 1.667 5.342
Ru -5.169 3.896 4.722
Ru 0.122 4.695 4.177
Ru -0.100 0.867 5.888
CELL_PARAMETERS angstrom
-0.921 6.799 1.027
-6.088 -1.631 5.339
7.032 0.394 3.699

! AcLa2Ru2 PBE-GGA relaxed; values from VASP
! energy relative to the elements	-0.137	eV/atom
! magnetization	0.0	Bohr magnetons per cell
! symmetry	C2/m, No. 12
&SYSTEM
  ibrav = 0, nat = 5, ntyp = 3
/
ATOMIC_SPECIES
Ac 227.00 Ac.upf
La 138.91 La.upf
Ru 101.07 Ru.upf
ATOMIC_POSITIONS angstrom
Ac 0.000 0.000 0.000
La -1.466 3.076 1.550
La 3.317 -0.779 1.550
Ru 1.894 2.350 0.194
Ru -0.043 -0.053 2.906
CELL_PARAMETERS angstrom
6.104 -0.187 -0.962
-1.479 5.925 -0.962
-2.774 -3.441 5.025

! AcLaRu PBE-GGA relaxed; values from VASP
! energy relative to the elements	-0.136	eV/atom
! magnetization	0.0	Bohr magnetons per cell
! symmetry	F-43m, No. 216
&SYSTEM
  ibrav = 0, nat = 3, ntyp = 3
/
ATOMIC_SPECIES
Ru 101.07 Ru.upf
Ac 227.00 Ac.upf
La 138.91 La.upf
ATOMIC_POSITIONS angstrom
Ru -2.258 -1.922 -0.965
Ac -4.516 -3.844 -1.930
La 0.000 0.000 0.000
CELL_PARAMETERS angstrom
-4.937 -1.167 0.441
-2.596 -1.661 -4.054
-1.499 -4.860 -0.247

! Ac2LaRu PBE-GGA relaxed; values from VASP
! energy relative to the elements	-0.194	eV/atom
! magnetization	0.0	Bohr magnetons per cell
! symmetry	Pnma, No. 62
&SYSTEM
  ibrav = 0, nat = 16, ntyp = 3
/
ATOMIC_SPECIES
Ac 227.00 Ac.upf
La 138.91 La.upf
Ru 101.07 Ru.upf
ATOMIC_POSITIONS angstrom
Ac 1.214 5.084 0.745
Ac 2.197 1.284 4.510
Ac 5.607 2.515 5.999
Ac 4.625 6.314 9.764
Ac 5.607 2.515 9.764
Ac 4.625 6.314 5.999
Ac 1.214 5.084 4.510
Ac 2.197 1.284 0.745
La 4.539 4.247 2.627
La 5.693 0.448 2.627
La 2.282 3.351 7.881
La 1.129 7.151 7.881
Ru 0.159 2.856 2.627
Ru 3.252 6.655 2.627
Ru 6.663 4.743 7.881
Ru 3.569 0.943 7.881
CELL_PARAMETERS angstrom
6.821 0.000 0.000
0.000 7.599 0.000
0.000 0.000 10.508

! AcLa3Ru2 PBE-GGA relaxed; values from VASP
! energy relative to the elements	-0.154	eV/atom
! magnetization	0.0	Bohr magnetons per cell
! symmetry	C2/m, No. 12
&SYSTEM
  ibrav = 0, nat = 12, ntyp = 3
/
ATOMIC_SPECIES
Ac 227.00 Ac.upf
La 138.91 La.upf
Ru 101.07 Ru.upf
ATOMIC_POSITIONS angstrom
Ac 2.701 5.990 0.363
Ac 0.000 -1.061 8.827
La 0.000 2.667 6.309
La 2.701 5.030 6.080
La 2.701 -0.415 6.247
La 0.000 5.344 2.944
La 0.000 -0.101 3.111
La 2.701 2.261 2.882
Ru 0.000 4.506 7.946
Ru 2.701 0.422 1.245
Ru 2.701 5.011 3.217
Ru 0.000 -0.082 5.974
CELL_PARAMETERS angstrom
5.401 0.000 0.000
-2.701 7.949 0.472
0.000 -3.020 8.719

! AcLaRu PBE-GGA relaxed; values from VASP
! energy relative to the elements	-0.208	eV/atom
! magnetization	0.0	Bohr magnetons per cell
! symmetry	C2/m, No. 12
&SYSTEM
  ibrav = 0, nat = 6, ntyp = 3
/
ATOMIC_SPECIES
Ac 227.00 Ac.upf
Ru 101.07 Ru.upf
La 138.91 La.upf
ATOMIC_POSITIONS angstrom
Ac 1.419 -9.748 -1.729
Ac 2.404 -4.029 -0.086
Ru 1.095 -1.520 -0.906
Ru 2.728 -12.256 -0.909
La 4.767 -7.007 -2.002
La -0.944 -6.770 0.187
CELL_PARAMETERS angstrom
-1.431 -1.895 -3.517
6.015 -4.229 -0.167
-0.761 -7.653 1.869

! Ac2LaRu PBE-GGA relaxed; values from VASP
! energy relative to the elements	-0.167	eV/atom
! magnetization	0.0	Bohr magnetons per cell
! symmetry	Cmcm, No. 63
&SYSTEM
  ibrav = 0, nat = 8, ntyp = 3
/
ATOMIC_SPECIES
Ac 227.00 Ac.upf
La 138.91 La.upf
Ru 101.07 Ru.upf
ATOMIC_POSITIONS angstrom
Ac 0.001 4.730 5.897
Ac 2.044 1.912 4.410
Ac 0.001 4.730 9.563
Ac 2.044 1.912 0.744
La 2.045 5.321 2.577
La 0.000 1.322 7.730
Ru 2.041 3.141 7.730
Ru 0.004 3.501 2.577
CELL_PARAMETERS angstrom
4.084 0.002 0.000
-2.039 6.641 0.000
0.000 0.000 10.307

! AcLa3Ru PBE-GGA relaxed; values from VASP
! energy relative to the elements	-0.151	eV/atom
! magnetization	0.0	Bohr magnetons per cell
! symmetry	P-1, No. 2
&SYSTEM
  ibrav = 0, nat = 10, ntyp = 3
/
ATOMIC_SPECIES
Ac 227.00 Ac.upf
La 138.91 La.upf
Ru 101.07 Ru.upf
ATOMIC_POSITIONS angstrom
Ac 6.087 7.413 9.863
Ac 2.959 4.831 5.976
La 6.257 3.611 4.065
La 6.146 3.709 8.021
La 2.862 1.418 7.749
La 2.973 1.321 3.793
La 6.222 7.141 6.037
La 2.824 5.102 9.802
Ru 1.243 2.362 1.887
Ru 1.207 5.968 3.900
CELL_PARAMETERS angstrom
6.575 -0.026 0.168
-0.072 7.214 4.025
0.057 0.333 7.872

! AcLaRu PBE-GGA relaxed; values from VASP
! energy relative to the elements	-0.206	eV/atom
! magnetization	0.0	Bohr magnetons per cell
! symmetry	P2/m, No. 10
&SYSTEM
  ibrav = 0, nat = 6, ntyp = 3
/
ATOMIC_SPECIES
Ac 227.00 Ac.upf
La 138.91 La.upf
Ru 101.07 Ru.upf
ATOMIC_POSITIONS angstrom
Ac -2.396 2.755 2.218
Ac -5.908 1.728 4.409
La -2.171 -0.367 5.054
La -5.751 0.806 0.289
Ru -0.986 1.383 6.963
Ru -0.643 0.485 2.837
CELL_PARAMETERS angstrom
-0.382 4.038 1.281
-6.635 -0.524 -0.328
-0.303 -2.241 6.971

! AcLa2Ru PBE-GGA relaxed; values from VASP
! energy relative to the elements	-0.067	eV/atom
! magnetization	0.0	Bohr magnetons per cell
! symmetry	P4/mmm, No. 123
&SYSTEM
  ibrav = 0, nat = 4, ntyp = 3
/
ATOMIC_SPECIES
Ru 101.07 Ru.upf
Ac 227.00 Ac.upf
La 138.91 La.upf
ATOMIC_POSITIONS angstrom
Ru 1.824 1.824 0.000
Ac 1.824 1.824 4.844
La 0.000 0.000 8.010
La 0.000 0.000 1.679
CELL_PARAMETERS angstrom
3.647 0.000 0.000
0.000 3.647 0.000
0.000 0.000 9.688

! AcLa3Ru PBE-GGA relaxed; values from VASP
! energy relative to the elements	-0.100	eV/atom
! magnetization	0.0	Bohr magnetons per cell
! symmetry	Pm-3m, No. 221
&SYSTEM
  ibrav = 0, nat = 5, ntyp = 3
/
ATOMIC_SPECIES
Ru 101.07 Ru.upf
Ac 227.00 Ac.upf
La 138.91 La.upf
ATOMIC_POSITIONS angstrom
Ru 0.000 0.000 0.000
Ac -4.765 -1.137 0.120
La -1.128 -2.413 -0.954
La -1.576 -0.189 2.342
La -2.061 1.465 -1.268
CELL_PARAMETERS angstrom
-4.122 2.931 -2.536
-2.256 -4.825 -1.908
-3.151 -0.379 4.684

! Ac4LaRu PBE-GGA relaxed; values from VASP
! energy relative to the elements	-0.026	eV/atom
! magnetization	0.0	Bohr magnetons per cell
! symmetry	C2/m, No. 12
&SYSTEM
  ibrav = 0, nat = 12, ntyp = 3
/
ATOMIC_SPECIES
Ac 227.00 Ac.upf
La 138.91 La.upf
Ru 101.07 Ru.upf
ATOMIC_POSITIONS angstrom
Ac 0.477 3.943 3.293
Ac 0.633 -1.987 6.891
Ac 0.000 1.949 0.000
Ac 3.575 1.957 1.797
Ac 3.730 0.000 5.395
Ac 3.575 5.930 1.797
Ac 0.000 5.937 0.000
Ac 0.633 1.987 6.891
La 4.094 3.943 5.170
La 0.113 0.000 3.519
Ru 2.127 3.943 0.499
Ru 2.081 0.000 8.189
CELL_PARAMETERS angstrom
6.644 0.000 -0.492
0.000 7.887 0.000
-2.436 -3.943 9.180

! Ac2LaRu2 PBE-GGA relaxed; values from VASP
! energy relative to the elements	-0.098	eV/atom
! magnetization	0.0	Bohr magnetons per cell
! symmetry	C2/m, No. 12
&SYSTEM
  ibrav = 0, nat = 10, ntyp = 3
/
ATOMIC_SPECIES
Ac 227.00 Ac.upf
La 138.91 La.upf
Ru 101.07 Ru.upf
ATOMIC_POSITIONS angstrom
Ac -0.007 -3.029 -0.152
Ac 4.457 -7.296 1.632
Ac 5.724 -11.115 1.281
Ac 1.261 -6.848 -0.503
La 1.354 -5.037 2.691
La 4.363 -9.107 -1.562
Ru 5.352 -9.233 4.173
Ru 2.981 -4.333 0.323
Ru 0.366 -4.911 -3.044
Ru 2.737 -9.811 0.806
CELL_PARAMETERS angstrom
-1.924 -3.636 2.118
-0.298 -5.179 -4.107
7.940 -5.329 3.118

! AcLa2Ru PBE-GGA relaxed; values from VASP
! energy relative to the elements	-0.193	eV/atom
! magnetization	0.0	Bohr magnetons per cell
! symmetry	P2_1/m, No. 11
&SYSTEM
  ibrav = 0, nat = 8, ntyp = 3
/
ATOMIC_SPECIES
Ac 227.00 Ac.upf
La 138.91 La.upf
Ru 101.07 Ru.upf
ATOMIC_POSITIONS angstrom
Ac 2.005 5.240 2.546
Ac -0.002 1.073 7.639
La 0.001 4.495 5.844
La 2.003 1.818 4.341
La 0.001 4.495 9.434
La 2.003 1.818 0.751
Ru 2.000 3.440 7.639
Ru 0.004 2.873 2.546
CELL_PARAMETERS angstrom
4.007 0.000 0.000
-2.003 6.313 0.000
0.000 0.000 10.185

! AcLa3Ru2 PBE-GGA relaxed; values from VASP
! energy relative to the elements	-0.240	eV/atom
! magnetization	0.0	Bohr magnetons per cell
! symmetry	C2/m, No. 12
&SYSTEM
  ibrav = 0, nat = 12, ntyp = 3
/
ATOMIC_SPECIES
Ac 227.00 Ac.upf
La 138.91 La.upf
Ru 101.07 Ru.upf
ATOMIC_POSITIONS angstrom
Ac 1.934 9.215 11.747
Ac 2.728 8.076 7.890
La 0.038 5.779 10.386
La 4.624 11.512 9.252
La 3.121 13.498 16.552
La 1.541 3.794 3.086
La 3.883 12.396 12.850
La 0.779 4.895 6.787
Ru 3.625 9.918 14.103
Ru 1.037 7.374 5.534
Ru 2.492 5.341 9.037
Ru 2.170 11.951 10.600
CELL_PARAMETERS angstrom
4.176 0.000 0.860
0.851 10.779 6.436
-0.365 6.513 12.341

! AcLaSnRu PBE-GGA relaxed; values from VASP
! energy relative to the elements	-0.195	eV/atom
! magnetization	0.0	Bohr magnetons per cell
! symmetry	F-43m, No. 216
&SYSTEM
  ibrav = 0, nat = 4, ntyp = 4
/
ATOMIC_SPECIES
Ru 101.07 Ru.upf
Ac 227.00 Ac.upf
Sn 118.71 Sn.upf
La 138.91 La.upf
ATOMIC_POSITIONS angstrom
Ru 8.148 4.704 3.326
Ac 0.000 0.000 0.000
Sn 2.716 1.568 1.109
La 5.432 3.136 2.218
CELL_PARAMETERS angstrom
5.432 0.000 0.000
2.716 4.704 0.000
2.716 1.568 4.435

| no. | V (Å³ per cell) |
| --- | --- |
| 1 | 94.29 |
| 2 | 430.99 |
| 3 | 141.88 |
| 4 | 453.14 |
| 5 | 425.18 |
| 6 | 138.91 |
| 7 | 93.37 |
| 8 | 544.68 |
| 9 | 382.06 |
| 10 | 207.40 |
| 11 | 279.56 |
| 12 | 364.47 |
| 13 | 207.72 |
| 14 | 128.87 |
| 15 | 181.13 |
| 16 | 471.58 |
| 17 | 278.83 |
| 18 | 257.67 |
| 19 | 388.59 |
| 20 | 113.34 |